[1]
DFT (PBE-GGA) results for a geometry-optimized LiTc2Au structure.

Properties
- formation energy from the elements (eV per atom) = 0.151
- E above lowest polymorph (meV/atom) = 112
- total magnetization (μB per atom) = 0.0000
- symmetry = Cm (8)
- uncorrected energy (eV for the cell shown) = -25.3

Structure (CIF):
```
data_LiTc2Au
_symmetry_space_group_name_H-M 'P 1'
_symmetry_Int_Tables_number 1
_cell_length_a 4.577
_cell_length_b 4.577
_cell_length_c 5.168
_cell_angle_alpha 85.26
_cell_angle_beta 85.26
_cell_angle_gamma 34.14
loop_
_symmetry_equiv_pos_as_xyz
'x,y,z'
loop_
_atom_site_label
_atom_site_type_symbol
_atom_site_fract_x
_atom_site_fract_y
_atom_site_fract_z
_atom_site_occupancy
Au1 Au 0.496 0.496 0.461 1
Li1 Li 0.244 0.244 0.271 1
Tc1 Tc 0.001 0.001 0.974 1
Tc2 Tc 0.760 0.760 0.793 1
```

***

[2]
DFT (PBE-GGA) results for a geometry-optimized Cr2Co2Mo structure.

Properties
- formation energy from the elements (eV per atom) = 0.135
- E above lowest polymorph (meV/atom) = 0
- total magnetization (μB per atom) = 0.0000
- symmetry = P4/mbm (127)
- uncorrected energy (eV for the cell shown) = -87.2

Structure (CIF):
```
data_Cr2Co2Mo
_symmetry_space_group_name_H-M 'P 1'
_symmetry_Int_Tables_number 1
_cell_length_a 6.915
_cell_length_b 6.915
_cell_length_c 2.520
_cell_angle_alpha 90.00
_cell_angle_beta 90.00
_cell_angle_gamma 90.00
loop_
_symmetry_equiv_pos_as_xyz
'x,y,z'
loop_
_atom_site_label
_atom_site_type_symbol
_atom_site_fract_x
_atom_site_fract_y
_atom_site_fract_z
_atom_site_occupancy
Cr1 Cr 0.170 0.670 0.500 1
Cr2 Cr 0.670 0.830 0.500 1
Cr3 Cr 0.830 0.330 0.500 1
Cr4 Cr 0.330 0.170 0.500 1
Mo1 Mo 0.000 0.000 0.000 1
Mo2 Mo 0.500 0.500 0.000 1
Co1 Co 0.376 0.876 0.000 1
Co2 Co 0.876 0.624 0.000 1
Co3 Co 0.624 0.124 0.000 1
Co4 Co 0.124 0.376 0.000 1
```

***

[3]
DFT (PBE-GGA) results for a geometry-optimized BiBCl3 structure.

Properties
- E above lowest polymorph (meV/atom) = 0
- total magnetization (μB per atom) = 0.0000
- formation energy without anion corrections (meV/atom) = 355
- symmetry = Pm-3m (221)
- uncorrected energy (eV for the cell shown) = -14.3

Structure (CIF):
```
data_BiBCl3
_symmetry_space_group_name_H-M 'P 1'
_symmetry_Int_Tables_number 1
_cell_length_a 4.622
_cell_length_b 4.622
_cell_length_c 4.622
_cell_angle_alpha 90.00
_cell_angle_beta 90.00
_cell_angle_gamma 90.00
loop_
_symmetry_equiv_pos_as_xyz
'x,y,z'
loop_
_atom_site_label
_atom_site_type_symbol
_atom_site_fract_x
_atom_site_fract_y
_atom_site_fract_z
_atom_site_occupancy
B1 B 0.000 0.000 0.000 1
Bi1 Bi 0.500 0.500 0.500 1
Cl1 Cl 0.000 0.500 0.000 1
Cl2 Cl 0.000 0.000 0.500 1
Cl3 Cl 0.500 0.000 0.000 1
```

***

[4]
DFT (PBE-GGA) results for a geometry-optimized Li2TlO2 structure.

Properties
- total magnetization (μB per atom) = 0.0000
- formation energy without anion corrections (meV/atom) = -1238
- symmetry = C2/m (12)
- uncorrected energy (eV for the cell shown) = -44.6

Structure (CIF):
```
data_Li2TlO2
_symmetry_space_group_name_H-M 'P 1'
_symmetry_Int_Tables_number 1
_cell_length_a 4.624
_cell_length_b 6.390
_cell_length_c 6.200
_cell_angle_alpha 121.61
_cell_angle_beta 112.65
_cell_angle_gamma 88.64
loop_
_symmetry_equiv_pos_as_xyz
'x,y,z'
loop_
_atom_site_label
_atom_site_type_symbol
_atom_site_fract_x
_atom_site_fract_y
_atom_site_fract_z
_atom_site_occupancy
Li1 Li 0.468 0.307 0.500 1
Li2 Li 0.125 0.125 0.750 1
Li3 Li 0.532 0.693 0.500 1
Li4 Li 0.875 0.875 0.250 1
Tl1 Tl 0.176 0.676 0.852 1
Tl2 Tl 0.824 0.324 0.148 1
O1 O 0.672 0.672 0.844 1
O2 O 0.959 0.764 0.500 1
O3 O 0.041 0.236 0.500 1
O4 O 0.328 0.328 0.156 1
```

***

[5]
DFT (PBE-GGA) results for a geometry-optimized LiTi2AlAg structure.

Properties
- formation energy from the elements (eV per atom) = 0.870
- total magnetization (μB per atom) = 0.5632
- symmetry = P4/mmm (123)
- uncorrected energy (eV for the cell shown) = -19.9

Structure (CIF):
```
data_LiTi2AlAg
_symmetry_space_group_name_H-M 'P 1'
_symmetry_Int_Tables_number 1
_cell_length_a 5.044
_cell_length_b 4.733
_cell_length_c 5.044
_cell_angle_alpha 90.00
_cell_angle_beta 90.00
_cell_angle_gamma 90.00
loop_
_symmetry_equiv_pos_as_xyz
'x,y,z'
loop_
_atom_site_label
_atom_site_type_symbol
_atom_site_fract_x
_atom_site_fract_y
_atom_site_fract_z
_atom_site_occupancy
Li1 Li 0.500 0.500 0.500 1
Al1 Al 0.000 0.500 0.000 1
Ag1 Ag 0.000 0.000 0.000 1
Ti1 Ti 0.000 0.000 0.500 1
Ti2 Ti 0.500 0.000 0.000 1
```

***

[6]
DFT (PBE-GGA) results for a geometry-optimized ThNpCd4 structure.

Properties
- formation energy from the elements (eV per atom) = 0.101
- total magnetization (μB per atom) = 0.8312
- symmetry = F-43m (216)
- uncorrected energy (eV for the cell shown) = -23.4

Structure (CIF):
```
data_ThNpCd4
_symmetry_space_group_name_H-M 'P 1'
_symmetry_Int_Tables_number 1
_cell_length_a 5.959
_cell_length_b 5.959
_cell_length_c 5.959
_cell_angle_alpha 60.00
_cell_angle_beta 60.00
_cell_angle_gamma 60.00
loop_
_symmetry_equiv_pos_as_xyz
'x,y,z'
loop_
_atom_site_label
_atom_site_type_symbol
_atom_site_fract_x
_atom_site_fract_y
_atom_site_fract_z
_atom_site_occupancy
Np1 Np 0.250 0.250 0.250 1
Th1 Th 0.000 0.000 0.000 1
Cd1 Cd 0.625 0.625 0.125 1
Cd2 Cd 0.625 0.125 0.625 1
Cd3 Cd 0.625 0.625 0.625 1
Cd4 Cd 0.125 0.625 0.625 1
```